DFT (GGA-PBE) results for Zr2Sn2PdPt after structural relaxation.

Calculated values
E_tot = -6.9610 eV/atom
Space group = Pm (6)
Calculated density = 9.133 g/cm³

Structure (CIF):
```
data_Zr2Sn2PdPt
_symmetry_space_group_name_H-M 'P 1'
_symmetry_Int_Tables_number 1
_cell_length_a 7.8405
_cell_length_b 4.5264
_cell_length_c 15.0117
_cell_angle_alpha 90.00
_cell_angle_beta 100.02
_cell_angle_gamma 90.00
loop_
_symmetry_equiv_pos_as_xyz
'x,y,z'
loop_
_atom_site_label
_atom_site_type_symbol
_atom_site_fract_x
_atom_site_fract_y
_atom_site_fract_z
Zr1 Zr 0.1885 0.5000 0.0628
Zr2 Zr 0.9360 0.0000 0.8118
Zr3 Zr 0.9379 0.5000 0.3126
Zr4 Zr 0.1868 0.0000 0.5622
Zr5 Zr 0.6865 0.0000 0.0622
Zr6 Zr 0.4373 0.0000 0.3127
Zr7 Zr 0.6881 0.5000 0.5628
Zr8 Zr 0.4389 0.5000 0.8130
Sn1 Sn 0.8128 0.0000 0.4386
Sn2 Sn 0.5628 0.5000 0.1877
Sn3 Sn 0.8151 0.5000 0.9382
Sn4 Sn 0.3131 0.5000 0.4388
Sn5 Sn 0.0620 0.0000 0.1865
Sn6 Sn 0.5598 0.0000 0.6866
Sn7 Sn 0.0646 0.5000 0.6872
Sn8 Sn 0.3098 0.0000 0.9365
Pt1 Pt 0.4999 0.5000 0.0001
Pt2 Pt 0.7497 0.5000 0.7498
Pt3 Pt 0.7498 0.0000 0.2498
Pt4 Pt 0.2502 0.5000 0.2499
Pd1 Pd 0.0000 0.0000 0.0000
Pd2 Pd 0.2501 0.0000 0.7499
Pd3 Pd 0.0001 0.5000 0.5001
Pd4 Pd 0.5000 0.0000 0.5003
```